# 1
Below is an optimized crystal structure of BaMgScTl2, with properties calculated at the PBE level.

Structure (POSCAR):
```
BaMgScTl2
1.0
-3.789 -4.745 -0.830
2.109 -0.703 -5.609
4.315 -3.813 2.100
Sc Tl Mg Ba
1 2 1 1
Cartesian
1.317 -4.630 -2.169
2.157 -1.906 1.050
-1.895 -2.373 -0.415
1.055 -0.352 -2.805
0.000 0.000 0.000
```

- energy of formation (eV/atom) = 1.031

# 2
Below is an optimized crystal structure of BaMgSe, with properties calculated at the PBE level.

Structure (POSCAR):
```
BaMgSe
1.0
-2.959 3.040 1.282
-3.001 -2.104 -1.938
-1.878 -5.631 9.023
Ba Mg Se
2 2 2
Cartesian
-3.311 -6.480 7.729
-4.103 -2.899 5.067
-3.479 -1.028 2.070
-0.659 -1.977 3.168
-1.355 -4.062 6.508
-1.644 1.028 1.430
```

- distance to the lowest polymorph of the same formula (meV/atom) = 101

# 3
Below is an optimized crystal structure of BaMg2Se, with properties calculated at the PBE level.

Structure (POSCAR):
```
BaMg2Se
1.0
-7.792 3.847 -3.486
-9.141 0.252 -2.015
-8.684 3.465 0.510
Ba Mg Se
1 2 1
Cartesian
-19.213 5.672 -3.743
-24.925 7.359 -4.856
-13.500 3.986 -2.630
-6.404 1.891 -1.248
```

- uncorrected energy (eV/atom) = -2.6077

# 4
Below is an optimized crystal structure of BaMg2Se, with properties calculated at the PBE level.

Structure (POSCAR):
```
BaMg2Se
1.0
5.494 0.030 0.049
4.006 3.761 0.049
2.062 0.823 6.286
Ba Mg Se
1 2 1
Cartesian
8.849 3.531 4.532
9.417 3.758 0.728
2.504 0.999 1.488
6.073 2.423 2.926
```

- uncorrected energy (eV/atom) = -2.7353

# 5
Below is an optimized crystal structure of BaMgSe, with properties calculated at the PBE level.

Structure (POSCAR):
```
BaMgSe
1.0
-1.216 0.872 -4.382
-3.593 -2.892 0.421
-5.556 7.341 3.003
Ba Mg Se
2 2 2
Cartesian
-6.358 4.580 2.676
-1.603 1.751 -1.654
-4.251 1.797 1.537
-3.710 4.534 -0.515
-2.706 -0.243 0.703
-5.254 6.574 0.320
```

- distance to the lowest polymorph of the same formula (meV/atom) = 0

# 6
Below is an optimized crystal structure of BaMgSe, with properties calculated at the PBE level.

Structure (POSCAR):
```
BaMgSe
1.0
-0.886 1.954 5.074
-0.498 -3.478 4.243
3.978 -0.297 3.800
Ba Mg Se
1 1 1
Cartesian
1.945 -1.365 9.838
0.000 0.000 0.000
1.297 -0.910 6.558
```

- distance to the lowest polymorph of the same formula (meV/atom) = 572

# 7
Below is an optimized crystal structure of BaMg2Se, with properties calculated at the PBE level.

Structure (POSCAR):
```
BaMg2Se
1.0
3.716 0.000 0.000
0.000 3.716 0.000
0.000 0.000 8.461
Ba Mg Se
1 2 1
Cartesian
1.858 1.858 6.346
0.000 0.000 0.611
0.000 0.000 3.620
1.858 1.858 2.115
```

- uncorrected energy (eV/atom) = -2.5984

# 8
Below is an optimized crystal structure of BaMg2Se, with properties calculated at the PBE level.

Structure (POSCAR):
```
BaMg2Se
1.0
-2.111 -3.592 0.055
5.046 -2.957 0.608
1.693 -0.909 5.568
Ba Mg Se
1 2 1
Cartesian
3.999 -4.695 4.660
0.436 -0.250 0.405
2.934 -1.683 2.683
0.629 -2.762 1.572
```

- uncorrected energy (eV/atom) = -2.8090

# 9
Below is an optimized crystal structure of BaMgSe2, with properties calculated at the PBE level.

Structure (POSCAR):
```
BaMgSe2
1.0
-6.410 -4.021 -1.377
-5.016 -5.315 2.397
-7.205 -1.714 2.074
Ba Mg Se
1 1 2
Cartesian
-9.289 -5.508 1.543
-12.450 -7.383 2.068
-1.261 -0.748 0.209
-4.949 -2.935 0.822
```

- uncorrected energy (eV/atom) = -4.1308

# 10
Below is an optimized crystal structure of BaMgSe, with properties calculated at the PBE level.

Structure (POSCAR):
```
BaMgSe
1.0
-2.134 -1.064 3.688
2.510 -3.374 0.479
7.874 6.399 3.801
Ba Mg Se
2 2 2
Cartesian
7.215 3.679 6.797
5.744 2.024 2.851
0.322 0.905 4.685
2.620 -0.272 3.053
4.322 3.954 5.197
0.035 0.259 1.642
```

- distance to the lowest polymorph of the same formula (meV/atom) = 97

# 11
Below is an optimized crystal structure of BaMg3Se, with properties calculated at the PBE level.

Structure (POSCAR):
```
BaMg3Se
1.0
5.467 0.000 0.000
0.000 5.467 0.000
0.000 0.000 5.467
Mg Ba Se
3 1 1
Cartesian
0.000 2.733 0.000
0.000 0.000 2.733
2.733 0.000 0.000
2.733 2.733 2.733
0.000 0.000 0.000
```

- distance to the lowest polymorph of the same formula (meV/atom) = 0

# 12
Below is an optimized crystal structure of Ba2MgSe3, with properties calculated at the PBE level.

Structure (POSCAR):
```
Ba2MgSe3
1.0
4.529 0.000 0.000
0.000 9.342 0.000
0.000 0.000 18.040
Ba Mg Se
8 4 12
Cartesian
1.132 2.459 17.266
3.397 6.883 0.774
3.397 2.212 8.246
1.132 7.131 9.794
3.397 0.758 12.890
1.132 8.584 5.150
1.132 3.913 3.870
3.397 5.429 14.171
1.132 3.500 11.407
3.397 5.842 6.633
3.397 1.171 2.387
1.132 8.171 15.654
1.132 2.985 13.945
3.397 6.357 4.095
3.397 1.686 4.925
1.132 7.656 13.116
3.397 0.059 16.270
1.132 9.284 1.771
1.132 4.612 7.250
3.397 4.730 10.791
1.132 1.167 10.328
3.397 8.175 7.712
3.397 3.504 1.308
1.132 5.838 16.732
```

- uncorrected energy (eV/atom) = -4.4338

# 13
Below is an optimized crystal structure of BaMgSe2, with properties calculated at the PBE level.

Structure (POSCAR):
```
BaMgSe2
1.0
-3.959 -0.666 0.752
2.183 -3.320 -0.947
1.641 -1.106 7.665
Ba Mg Se
1 1 2
Cartesian
-0.478 -2.269 1.819
0.343 -2.822 5.652
1.587 -1.069 7.410
0.875 -0.590 4.088
```

- uncorrected energy (eV/atom) = -3.8519

# 14
Below is an optimized crystal structure of BaMg2Se, with properties calculated at the PBE level.

Structure (POSCAR):
```
BaMg2Se
1.0
-3.514 1.940 1.233
-1.416 -3.602 1.629
3.051 1.597 6.184
Ba Mg Se
1 2 1
Cartesian
-0.318 0.293 5.784
0.307 0.161 0.623
-1.858 -0.513 2.663
1.514 0.792 3.069
```

- uncorrected energy (eV/atom) = -2.7547

# 15
Below is an optimized crystal structure of BaMgSe2, with properties calculated at the PBE level.

Structure (POSCAR):
```
BaMgSe2
1.0
-3.311 -3.475 -2.204
2.395 -3.335 1.660
-2.962 0.046 4.378
Ba Mg Se
1 1 2
Cartesian
0.087 -1.650 2.472
-4.247 -1.699 2.730
-0.353 -3.077 5.382
-2.612 -1.935 0.647
```

- uncorrected energy (eV/atom) = -4.0844

# 16
Below is an optimized crystal structure of BaMg3Se, with properties calculated at the PBE level.

Structure (POSCAR):
```
BaMg3Se
1.0
6.541 0.000 0.000
0.000 6.541 0.000
0.000 0.000 6.541
Mg Ba Se
3 1 1
Cartesian
0.000 3.271 0.000
0.000 0.000 3.271
3.271 0.000 0.000
0.000 0.000 0.000
3.271 3.271 3.271
```

- distance to the lowest polymorph of the same formula (meV/atom) = 1116

# 17
Below is an optimized crystal structure of BaMgSe2, with properties calculated at the PBE level.

Structure (POSCAR):
```
BaMgSe2
1.0
5.730 -0.002 0.006
0.114 5.729 -0.006
-1.703 -4.107 3.615
Ba Mg Se
1 1 2
Cartesian
3.475 -0.623 1.810
0.666 2.243 1.804
0.259 0.254 0.000
2.663 2.609 0.000
```

- uncorrected energy (eV/atom) = -3.9534

# 18
Below is an optimized crystal structure of BaMgSe3, with properties calculated at the PBE level.

Structure (POSCAR):
```
BaMgSe3
1.0
-3.166 -4.789 -1.939
-0.623 -1.904 5.719
-5.129 3.187 0.502
Mg Ba Se
1 1 3
Cartesian
-4.459 -1.752 2.141
0.000 0.000 0.000
-0.312 -0.952 2.859
-2.564 1.594 0.251
-1.583 -2.394 -0.970
```

- distance to the lowest polymorph of the same formula (meV/atom) = 1177

# 19
Below is an optimized crystal structure of BaMgSe2, with properties calculated at the PBE level.

Structure (POSCAR):
```
BaMgSe2
1.0
7.472 0.049 -0.095
6.272 4.061 -0.095
-0.306 -0.091 4.630
Ba Mg Se
1 1 2
Cartesian
6.289 1.880 2.621
2.749 0.822 1.320
0.510 0.152 0.456
10.609 3.172 2.263
```

- uncorrected energy (eV/atom) = -4.0885

# 20
Below is an optimized crystal structure of BaMg2Se, with properties calculated at the PBE level.

Structure (POSCAR):
```
BaMg2Se
1.0
-6.085 1.328 2.330
-5.943 -2.356 1.833
-0.571 -0.750 5.391
Ba Mg Se
1 2 1
Cartesian
-9.450 -1.333 7.165
-11.512 -1.015 4.212
-6.816 -0.902 4.727
-3.150 -0.444 2.388
```

- uncorrected energy (eV/atom) = -2.8025

# 21
Below is an optimized crystal structure of BaMgSe, with properties calculated at the PBE level.

Structure (POSCAR):
```
BaMgSe
1.0
-7.192 -1.846 -5.983
-2.786 -2.425 4.097
-1.396 8.468 4.063
Mg Ba Se
4 4 4
Cartesian
-4.160 0.534 -2.513
-4.428 6.088 0.593
-6.251 3.556 1.567
-5.123 0.641 0.610
-6.581 3.609 -2.339
-2.007 3.014 0.419
-7.276 -1.838 -2.322
-4.098 6.035 4.499
-2.172 5.806 1.960
-6.416 0.816 -3.880
-2.867 0.360 1.977
-8.507 3.837 0.200
```

- distance to the lowest polymorph of the same formula (meV/atom) = 92

# 22
Below is an optimized crystal structure of BaMgSe2, with properties calculated at the PBE level.

Structure (POSCAR):
```
BaMgSe2
1.0
-0.430 -1.216 -4.124
3.477 -1.166 -2.285
0.132 -7.471 -0.077
Ba Mg Se
1 1 2
Cartesian
2.384 -7.390 -4.864
0.795 -2.463 -1.621
3.005 -2.692 -6.312
1.631 -4.618 -3.339
```

- uncorrected energy (eV/atom) = -4.1621

# 23
Below is an optimized crystal structure of BaMgSe2, with properties calculated at the PBE level.

Structure (POSCAR):
```
BaMgSe2
1.0
-1.486 -1.115 3.229
-2.125 -2.454 -1.826
5.430 -5.220 0.697
Ba Mg Se
1 1 2
Cartesian
-0.448 -3.090 0.876
2.267 -5.700 1.224
5.271 -5.067 0.677
2.874 -2.763 0.369
```

- uncorrected energy (eV/atom) = -3.7850

# 24
Below is an optimized crystal structure of BaMgSe3, with properties calculated at the PBE level.

Structure (POSCAR):
```
BaMgSe3
1.0
5.196 0.000 0.000
0.000 5.196 0.000
0.000 0.000 5.196
Mg Ba Se
1 1 3
Cartesian
0.000 0.000 0.000
2.598 2.598 2.598
0.000 2.598 0.000
0.000 0.000 2.598
2.598 0.000 0.000
```

- distance to the lowest polymorph of the same formula (meV/atom) = 0

# 25
Below is an optimized crystal structure of BaMgSe2, with properties calculated at the PBE level.

Structure (POSCAR):
```
BaMgSe2
1.0
7.159 0.034 0.000
4.519 5.553 0.000
-5.839 -2.793 3.059
Ba Mg Se
1 1 2
Cartesian
5.839 2.793 0.000
3.580 0.017 1.529
0.000 0.000 0.000
2.260 2.776 1.529
```

- uncorrected energy (eV/atom) = -3.6334

# 26
Below is an optimized crystal structure of BaMg2Se, with properties calculated at the PBE level.

Structure (POSCAR):
```
BaMg2Se
1.0
-7.368 4.711 2.253
-4.505 -3.764 -6.862
-6.872 -1.908 -0.384
Mg Ba Se
4 2 2
Cartesian
-6.385 1.677 0.301
-5.956 -1.920 -3.950
-9.913 -1.332 -2.483
-15.237 -0.346 -3.854
0.000 0.000 0.000
-10.088 1.639 -0.217
-5.937 0.474 -2.305
-8.657 -2.599 -4.775
```

- uncorrected energy (eV/atom) = -2.7200

# 27
Below is an optimized crystal structure of BaMgSe, with properties calculated at the PBE level.

Structure (POSCAR):
```
BaMgSe
1.0
4.880 0.000 0.000
-2.440 4.227 0.000
0.000 0.000 4.559
Ba Mg Se
1 1 1
Cartesian
0.000 0.000 0.000
2.440 1.409 2.281
0.000 2.818 2.278
```

- distance to the lowest polymorph of the same formula (meV/atom) = 299

# 28
Below is an optimized crystal structure of BaMg2Se, with properties calculated at the PBE level.

Structure (POSCAR):
```
BaMg2Se
1.0
-0.759 -5.196 -3.040
3.635 -1.792 2.154
-2.742 -1.551 3.337
Ba Mg Se
1 2 1
Cartesian
-1.751 -3.374 0.148
0.000 0.000 0.000
0.446 -1.672 2.745
1.438 -3.494 -0.443
```

- uncorrected energy (eV/atom) = -2.7226